RbTi2As | PBE-GGA | optimized geometry

Calculated values
Calculated total energy (eV/atom): -4.890
Calculated density (Mg/m³): 3.7
Total magnetization (μB/f.u.): 0.00
DOS(E_F) (states/eV per cell): 8.51
Formation enthalpy at 0 K (meV per atom): 462

Unit cell a=4.9742 b=4.9742 c=9.9349 alpha=75.50 beta=75.50 gamma=90.00
Last column: nearest neighbours and their distance in Å.
Positions (direct):
Ti 0.3681 0.6250 0.2500  2 Ti 2.49, 2 As 2.64
Ti 0.8750 0.6319 0.7500  2 Ti 2.49, 2 As 2.64
Ti 0.3750 0.6181 0.7500  2 Ti 2.49, 2 As 2.64
Ti 0.3819 0.1250 0.2500  2 Ti 2.49, 2 As 2.64
As 0.2500 0.7500 0.5000  4 Ti 2.64
As 0.5000 0.5000 0.0000  4 Ti 2.64
Rb 0.0000 0.0000 0.0000  4 As 3.52, 8 Ti 3.60-3.65
Rb 0.7500 0.2500 0.5000  4 As 3.52, 8 Ti 3.60-3.65


Mn2Cu2I7 | PBE-GGA | optimized geometry

Calculated values
Calculated total energy (eV/atom): -3.638
Calculated density (Mg/m³): 3.9
Total magnetization (μB/f.u.): 8.95
Raw formation energy (kJ/mol of formula units): -254
DOS(E_F) (states/eV per cell): 5.71

Unit cell a=7.3618 b=7.3618 c=10.9629 alpha=100.53 beta=100.53 gamma=120.95
Last column: nearest neighbours and their distance in Å.
Positions (direct):
I 0.5307 0.8903 0.8342  1 Cu 2.66, 1 Mn 2.78
I 0.7463 0.7463 0.1654  1 Cu 2.60, 2 Mn 2.90
I 0.2537 0.2537 0.8346  1 Cu 2.60, 2 Mn 2.90
I 0.8903 0.5307 0.8342  1 Cu 2.66, 1 Mn 2.78
I 0.4693 0.1097 0.1658  1 Cu 2.66, 1 Mn 2.78
I 0.1097 0.4693 0.1658  1 Cu 2.66, 1 Mn 2.78
I 0.5000 0.5000 0.5000  2 Cu 2.55
Cu 0.4673 0.4673 0.2603  4 I 2.55-2.66
Cu 0.5327 0.5327 0.7397  4 I 2.55-2.66
Mn 0.6625 0.3375 0.0000  6 I 2.78-2.99
Mn 0.3375 0.6625 0.0000  6 I 2.78-2.99


HgSb2O | PBE-GGA | optimized geometry

Calculated values
Calculated total energy (eV/atom): -3.092
Energy relative to the lowest polymorph listed for this composition (eV/atom): 0.4652
Calculated density (Mg/m³): 9.4
Total magnetization (μB/f.u.): 0.00
Raw formation energy (kJ/mol of formula units): 110
DOS(E_F) (states/eV per cell): 2.27

Unit cell a=4.8685 b=4.8685 c=4.8685 alpha=60.00 beta=60.00 gamma=60.00
Last column: nearest neighbours and their distance in Å.
Positions (direct):
Sb 0.2500 0.2500 0.2500  4 Hg 2.98, 4 O 2.98
Sb 0.7500 0.7500 0.7500  4 Hg 2.98, 4 O 2.98
Hg 0.5000 0.5000 0.5000  8 Sb 2.98
O 0.0000 0.0000 0.0000  8 Sb 2.98


InSbCl | PBE-GGA | optimized geometry

Calculated values
Calculated total energy (eV/atom): -3.162
Energy relative to the lowest polymorph listed for this composition (eV/atom): 0.1583
Calculated density (Mg/m³): 4.9
Total magnetization (μB/f.u.): 0.00
Raw formation energy (kJ/mol of formula units): -75
DOS(E_F) (states/eV per cell): 1.27

Unit cell a=3.8172 b=3.8172 c=7.3434 alpha=90.00 beta=90.00 gamma=120.00
Last column: nearest neighbours and their distance in Å.
Positions (direct):
Sb 0.6667 0.3333 0.5897  3 In 2.94
In 0.3333 0.6667 0.3239  3 Cl 2.81, 3 Sb 2.94
Cl 0.0000 0.0000 0.0865  3 In 2.81


NiHgW2 | PBE-GGA | optimized geometry

Calculated values
Calculated total energy (eV/atom): -7.370
Calculated density (Mg/m³): 16.4
Total magnetization (μB/f.u.): 0.62
DOS(E_F) (states/eV per cell): 3.65
Formation enthalpy at 0 K (meV per atom): 627

Unit cell a=6.0003 b=5.0798 c=2.7512 alpha=89.70 beta=63.28 gamma=117.96
Last column: nearest neighbours and their distance in Å.
Positions (direct):
Ni 0.5000 0.5000 0.0000  2 Hg 2.68, 2 Ni 2.75, 8 W 2.88-2.89
W 0.0000 0.0000 0.0000  4 W 2.68-2.75, 4 Ni 2.88-2.89, 4 Hg 2.88-2.89
W 0.5000 0.0000 0.5000  4 W 2.68-2.75, 4 Hg 2.88-2.89, 4 Ni 2.88-2.89
Hg 0.0000 0.5000 0.5000  2 Ni 2.68, 2 Hg 2.75, 8 W 2.88-2.89


CsNa2Tl2 | PBE-GGA | optimized geometry

Calculated values
Calculated total energy (eV/atom): -1.676
Energy relative to the lowest polymorph listed for this composition (eV/atom): 0.0156
Calculated density (Mg/m³): 5.4
Total magnetization (μB/f.u.): 0.00
DOS(E_F) (states/eV per cell): 4.65
Formation enthalpy at 0 K (meV per atom): -32

Unit cell a=9.7756 b=9.7756 c=3.7830 alpha=90.00 beta=90.00 gamma=90.00
Last column: nearest neighbours and their distance in Å.
Positions (direct):
Cs 0.0000 0.0000 0.0000  4 Na 3.68, 2 Cs 3.78
Cs 0.5000 0.5000 0.0000  4 Na 3.68, 2 Cs 3.78
Tl 0.1241 0.6241 0.5000  6 Na 3.36-3.56, 1 Tl 3.43
Tl 0.8759 0.3759 0.5000  6 Na 3.36-3.56, 1 Tl 3.43
Tl 0.6241 0.8759 0.5000  6 Na 3.36-3.56, 1 Tl 3.43
Tl 0.3759 0.1241 0.5000  6 Na 3.36-3.56, 1 Tl 3.43
Na 0.6576 0.1576 0.0000  6 Tl 3.36-3.56, 2 Cs 3.68
Na 0.1576 0.3424 0.0000  6 Tl 3.36-3.56, 2 Cs 3.68
Na 0.3424 0.8424 0.0000  6 Tl 3.36-3.56, 2 Cs 3.68
Na 0.8424 0.6576 0.0000  6 Tl 3.36-3.56, 2 Cs 3.68


Cd2In2Bi2Pb | PBE-GGA | optimized geometry

Calculated values
Calculated total energy (eV/atom): -2.611
Calculated density (Mg/m³): 8.8
Total magnetization (μB/f.u.): 0.00
DOS(E_F) (states/eV per cell): 4.26
Formation enthalpy at 0 K (meV per atom): 71

Unit cell a=5.2722 b=5.2722 c=8.9870 alpha=72.94 beta=72.94 gamma=60.00
Last column: nearest neighbours and their distance in Å.
Positions (direct):
Cd 0.5782 0.5782 0.2653  3 In 3.17, 3 Bi 3.32
Cd 0.4218 0.4218 0.7347  3 In 3.17, 3 Bi 3.32
In 0.7204 0.7204 0.8387  3 Cd 3.17, 3 Pb 3.34, 1 Bi 3.53
In 0.2796 0.2796 0.1613  3 Cd 3.17, 3 Pb 3.34, 1 Bi 3.53
Bi 0.1402 0.1402 0.5793  3 Cd 3.32, 3 Bi 3.33, 1 In 3.53, 1 Pb 3.56
Bi 0.8598 0.8598 0.4207  3 Cd 3.32, 3 Bi 3.33, 1 In 3.53, 1 Pb 3.56
Pb 0.0000 0.0000 0.0000  6 In 3.34, 2 Bi 3.56


HfU3Pa2N6 | PBE-GGA | optimized geometry

Calculated values
Calculated total energy (eV/atom): -10.882
Calculated density (Mg/m³): 14.0
Total magnetization (μB/f.u.): 3.90
Raw formation energy (kJ/mol of formula units): -1719
DOS(E_F) (states/eV per cell): 16.83

Unit cell a=5.9427 b=5.9427 c=5.9142 alpha=99.63 beta=99.63 gamma=120.00
Last column: nearest neighbours and their distance in Å.
Positions (direct):
Pa 0.6664 0.3336 0.0000  6 N 2.44-2.45
Pa 0.3336 0.6664 0.0000  6 N 2.44-2.45
Hf 0.0000 0.0000 0.0000  6 N 2.31-2.32
N 0.9202 0.6031 0.7585  1 Hf 2.31, 3 U 2.41-2.53, 2 Pa 2.44
N 0.3969 0.0798 0.2415  1 Hf 2.31, 3 U 2.41-2.53, 2 Pa 2.44
N 0.7654 0.7654 0.2454  1 Hf 2.32, 3 U 2.40-2.52, 2 Pa 2.45
N 0.0798 0.3969 0.2415  1 Hf 2.31, 3 U 2.41-2.53, 2 Pa 2.44
N 0.6031 0.9202 0.7585  1 Hf 2.31, 3 U 2.41-2.53, 2 Pa 2.44
N 0.2346 0.2346 0.7546  1 Hf 2.32, 3 U 2.40-2.52, 2 Pa 2.45
U 0.1670 0.8330 0.5000  6 N 2.40-2.53
U 0.5000 0.5000 0.5000  6 N 2.41-2.52
U 0.8330 0.1670 0.5000  6 N 2.40-2.53